Entry 1:
First-principles (PBE) data for a relaxed structure of KNaLa2Be, as listed in Alexandria via LeMat-Bulk.

Cell and atoms, written as POSCAR:
```
KNaLa2Be
1.0
5.6492 0.0000 0.0000
0.0000 5.6492 0.0000
0.0000 0.0000 6.1212
K Na La Be
1 1 2 1
direct
0.0000 0.0000 0.0000
0.5000 0.5000 0.0000
0.0000 0.5000 0.5000
0.5000 0.0000 0.5000
0.5000 0.5000 0.5000
```

Crystal system = tetragonal
D(E_F) = 1.2486 states/eV/atom
Electronic total energy = -13.49 eV for the cell shown

Entry 2:
First-principles (PBE) data for a relaxed structure of KLa2BeNb, as listed in Alexandria via LeMat-Bulk.

Cell and atoms, written as POSCAR:
```
KLa2BeNb
1.0
5.6978 0.0000 0.0000
0.0000 5.6978 0.0000
0.0000 0.0000 4.8448
K La Be Nb
1 2 1 1
direct
0.0000 0.0000 0.0000
0.0000 0.5000 0.5000
0.5000 0.0000 0.5000
0.5000 0.5000 0.5000
0.5000 0.5000 0.0000
```

Crystal system = tetragonal
D(E_F) = 1.4696 states/eV/atom
Electronic total energy = -20.95 eV for the cell shown

Entry 3:
First-principles (PBE) data for a relaxed structure of KLaBe2O, as listed in Alexandria via LeMat-Bulk.

Cell and atoms, written as POSCAR:
```
KLaBe2O
1.0
6.0421 0.0000 0.0000
0.0000 6.0421 0.0000
0.0000 0.0000 4.3942
K La Be O
1 1 2 1
direct
0.0000 0.0000 0.0000
0.5000 0.5000 0.5000
0.0000 0.5000 0.5000
0.5000 0.0000 0.5000
0.5000 0.5000 0.0000
```

Crystal system = tetragonal
Raw formation energy = 0.151 eV/atom
D(E_F) = 0.8239 states/eV/atom
Electronic total energy = -17.68 eV for the cell shown